A plane-wave DFT calculation with GGA-PBE was carried out for a relaxed structure of CrPtRh2.

Output
* magnetic moment: 0.0 μB/f.u.
* final energy: -29.59 eV per formula unit
* SG: No. 225
* calculated formation energy: 0.19 eV per atom

Structure (extended XYZ):
```
4
Lattice="0.000 3.058 3.058 3.058 0.000 3.058 3.058 3.058 0.000" Properties=species:S:1:pos:R:3 pbc="T T T"
Cr 0.000 0.000 0.000
Pt 3.058 3.058 3.058
Rh 1.529 1.529 1.529
Rh 4.587 4.587 4.587
```

A plane-wave DFT calculation with GGA-PBE was carried out for a relaxed structure of CrPtRh.

Output
* magnetic moment: 0.0 μB/f.u.
* final energy: -23.59 eV per formula unit
* SG: No. 107
* energy relative to the lowest polymorph listed for this composition: 14.0 meV per atom
* calculated formation energy: -0.19 eV per atom

Structure (extended XYZ):
```
3
Lattice="-1.345 1.345 5.722 1.345 -1.345 5.722 1.345 1.345 -5.722" Properties=species:S:1:pos:R:3 pbc="T T T"
Cr 0.000 0.000 0.000
Pt 0.000 0.000 7.571
Rh 0.000 0.000 4.002
```

A plane-wave DFT calculation with GGA-PBE was carried out for a relaxed structure of CrPtRh2.

Output
* magnetic moment: 0.0 μB/f.u.
* final energy: -30.71 eV per formula unit
* SG: No. 166
* calculated formation energy: -0.09 eV per atom

Structure (extended XYZ):
```
4
Lattice="1.359 0.785 8.756 -1.359 0.785 8.756 0.000 -1.569 8.756" Properties=species:S:1:pos:R:3 pbc="T T T"
Cr 0.000 0.000 0.000
Pt 0.000 0.000 13.134
Rh 0.000 0.000 6.751
Rh 0.000 0.000 19.518
```

A plane-wave DFT calculation with GGA-PBE was carried out for a relaxed structure of CrPtRh2.

Output
* magnetic moment: 0.6 μB/f.u.
* final energy: -30.50 eV per formula unit
* SG: No. 160
* calculated formation energy: -0.03 eV per atom

Structure (extended XYZ):
```
4
Lattice="1.355 0.782 8.810 -1.355 0.782 8.810 0.000 -1.565 8.810" Properties=species:S:1:pos:R:3 pbc="T T T"
Cr 0.000 0.000 0.000
Pt 0.000 0.000 19.762
Rh 0.000 0.000 6.809
Rh 0.000 0.000 13.317
```

A plane-wave DFT calculation with GGA-PBE was carried out for a relaxed structure of Cr2Pt2Rh.

Output
* magnetic moment: 4.3 μB/f.u.
* final energy: -39.36 eV per formula unit
* SG: No. 12
* energy relative to the lowest polymorph listed for this composition: 0.0 meV per atom
* calculated formation energy: -0.14 eV per atom

Structure (extended XYZ):
```
5
Lattice="4.259 -1.918 0.000 4.259 1.918 0.000 -4.103 0.000 4.368" Properties=species:S:1:pos:R:3 pbc="T T T"
Cr -0.435 0.000 1.280
Cr 4.849 0.000 3.088
Pt -1.092 0.000 3.868
Pt 5.506 0.000 0.500
Rh 2.207 0.000 2.184
```

A plane-wave DFT calculation with GGA-PBE was carried out for a relaxed structure of CrPt2Rh.

Output
* magnetic moment: 0.0 μB/f.u.
* final energy: -29.60 eV per formula unit
* SG: No. 160
* calculated formation energy: -0.14 eV per atom

Structure (extended XYZ):
```
4
Lattice="1.365 0.788 8.885 -1.365 0.788 8.885 0.000 -1.576 8.885" Properties=species:S:1:pos:R:3 pbc="T T T"
Cr 0.000 0.000 0.000
Pt 0.000 0.000 13.436
Pt 0.000 0.000 19.893
Rh 0.000 0.000 6.927
```

What did the sixth record say?
A plane-wave DFT calculation with GGA-PBE was carried out for a relaxed structure of CrPt2Rh.

Output
* magnetic moment: 0.0 μB/f.u.
* final energy: -29.60 eV per formula unit
* SG: No. 160
* calculated formation energy: -0.14 eV per atom

Structure (extended XYZ):
```
4
Lattice="1.365 0.788 8.885 -1.365 0.788 8.885 0.000 -1.576 8.885" Properties=species:S:1:pos:R:3 pbc="T T T"
Cr 0.000 0.000 0.000
Pt 0.000 0.000 13.436
Pt 0.000 0.000 19.893
Rh 0.000 0.000 6.927
```